[1]
The following is a DFT calculation (GGA-PBE) of a geometry-optimized Fe3AsPt structure.

As for the offset from the most stable computed form: 341 meV/atom. The calculated formation energy comes out at 1.064 eV/atom. For the calculated volume, the calculation gives 102.6 Å³ per cell. The electronic total energy is -30.756 eV for the cell shown.

It has space group Pm-3m (No. 221), with a = 4.681 Å, b = 4.681 Å, c = 4.681 Å, α = 90.00°, β = 90.00° and γ = 90.00°. Symmetry generates all atoms from Fe at (0.000, 0.000, 0.500), As at (0.500, 0.500, 0.500) and Pt at (0.000, 0.000, 0.000).



[2]
The following is a DFT calculation (GGA-PBE) of a geometry-optimized Ho5AlHg4 structure.

The calculated formation energy comes out at -0.459 eV/atom. For the calculated volume, the calculation gives 250.0 Å³ per cell. The electronic total energy is -32.430 eV for the cell shown.

It has space group P4/mmm (No. 123), with a = 3.683 Å, b = 3.683 Å, c = 18.423 Å, α = 90.00°, β = 90.00° and γ = 90.00°. Symmetry generates all atoms from Ho at (0.000, 0.000, 0.000), Ho at (0.000, 0.000, 0.203), Ho at (0.000, 0.000, 0.405), Al at (0.500, 0.500, 0.500), Hg at (0.500, 0.500, 0.102) and Hg at (0.500, 0.500, 0.305).



[3]
The following is a DFT calculation (GGA-PBE) of a geometry-optimized YSiAg2 structure.

For the calculated volume, the calculation gives 160.8 Å³ per cell. The electronic total energy is -36.831 eV for the cell shown.

It has space group Immm (No. 71), with a = 4.246 Å, b = 4.259 Å, c = 8.891 Å, α = 90.00°, β = 90.00° and γ = 90.00°. Symmetry generates all atoms from Y at (0.000, 0.000, 0.000), Si at (0.000, 0.000, 0.500) and Ag at (0.000, 0.500, 0.250).



[4]
The following is a DFT calculation (GGA-PBE) of a geometry-optimized Ta2FeHg structure.

The calculated formation energy comes out at 0.237 eV/atom. For the calculated volume, the calculation gives 139.6 Å³ per cell. The electronic total energy is -63.043 eV for the cell shown.

It has space group Cmm2 (No. 35), with a = 3.510 Å, b = 4.490 Å, c = 8.860 Å, α = 90.00°, β = 90.00° and γ = 90.00°. Symmetry generates all atoms from Ta at (0.000, 0.000, 0.000), Ta at (0.000, 0.500, 0.257), Fe at (0.000, 0.000, 0.479) and Hg at (0.000, 0.500, 0.723).



[5]
The following is a DFT calculation (GGA-PBE) of a geometry-optimized CeLuScTc structure.

The calculated formation energy comes out at 0.070 eV/atom. For the calculated volume, the calculation gives 357.2 Å³ per cell. The electronic total energy is -107.489 eV for the cell shown.

It has space group F-43m (No. 216), with a = 7.095 Å, b = 7.095 Å, c = 7.095 Å, α = 90.00°, β = 90.00° and γ = 90.00°. Symmetry generates all atoms from Ce at (0.000, 0.000, 0.000), Lu at (0.000, 0.000, 0.500), Sc at (0.250, 0.250, 0.750) and Tc at (0.250, 0.250, 0.250).



[6]
The following is a DFT calculation (GGA-PBE) of a geometry-optimized Nb3SbSe structure.

As for the offset from the most stable computed form: 1015 meV/atom. For the calculated volume, the calculation gives 131.0 Å³ per cell. The electronic total energy is -30.202 eV for the cell shown.

It has space group Pm-3m (No. 221), with a = 5.078 Å, b = 5.078 Å, c = 5.078 Å, α = 90.00°, β = 90.00° and γ = 90.00°. Symmetry generates all atoms from Nb at (0.000, 0.000, 0.500), Sb at (0.000, 0.000, 0.000) and Se at (0.500, 0.500, 0.500).



[7]
The following is a DFT calculation (GGA-PBE) of a geometry-optimized La2Er structure.

As for the offset from the most stable computed form: 103 meV/atom. The calculated formation energy comes out at 0.138 eV/atom. For the calculated volume, the calculation gives 424.1 Å³ per cell. The electronic total energy is -56.017 eV for the cell shown.

It has space group I4_1/amd (No. 141, origin choice 2), with a = 3.549 Å, b = 3.549 Å, c = 33.659 Å, α = 90.00°, β = 90.00° and γ = 90.00°. Symmetry generates all atoms from La at (0.000, 0.250, 0.296) and Er at (0.000, 0.250, 0.875).



[8]
The following is a DFT calculation (GGA-PBE) of a geometry-optimized SrCoP2Ir structure.

As for the offset from the most stable computed form: 1408 meV/atom. The calculated formation energy comes out at 0.592 eV/atom. For the calculated volume, the calculation gives 121.9 Å³ per cell. The electronic total energy is -25.506 eV for the cell shown.

It has space group P4/mmm (No. 123), with a = 4.543 Å, b = 4.543 Å, c = 5.907 Å, α = 90.00°, β = 90.00° and γ = 90.00°. Symmetry generates all atoms from Sr at (0.000, 0.000, 0.000), Co at (0.500, 0.500, 0.000), P at (0.000, 0.500, 0.500) and Ir at (0.000, 0.000, 0.500).